[1]
The following is a PBE-GGA calculation of an optimized crystal structure of KCdAgTe2, from Alexandria via LeMat-Bulk.

crystal system	orthorhombic
theoretical density	4.88	g cm⁻³
space group	Cmme
spin magnetization	0.00	Bohr magnetons per cell
formation energy from raw total energies	-250	kJ/mol of formula units

abc: 8.300 8.300 7.019
angles: 90.00 90.00 133.65
Atoms (fractional coordinates):
K  0.250  0.750  0.755
K  0.750  0.250  0.245
Cd  0.250  0.250  0.000
Cd  0.750  0.750  0.000
Ag  0.000  0.000  0.500
Ag  0.500  0.500  0.500
Te  0.120  0.880  0.225
Te  0.380  0.620  0.225
Te  0.620  0.380  0.775
Te  0.880  0.120  0.775

---

[2]
The following is a PBE-GGA calculation of an optimized crystal structure of MnTl3S, from Alexandria via LeMat-Bulk.

crystal system	cubic
energy relative to the lowest polymorph listed for this composition	0	meV/atom
theoretical density	8.11	g cm⁻³
space group	Pm-3m
spin magnetization	3.69	Bohr magnetons per cell
formation energy from raw total energies	193	kJ/mol of formula units

abc: 5.233 5.233 5.233
angles: 90.00 90.00 90.00
Atoms (fractional coordinates):
Mn  0.000  0.000  0.000
Tl  0.000  0.000  0.500
Tl  0.000  0.500  0.000
Tl  0.500  0.000  0.000
S  0.500  0.500  0.500

---

[3]
The following is a PBE-GGA calculation of an optimized crystal structure of Pm10In3Pb3, from Alexandria via LeMat-Bulk.

crystal system	hexagonal
theoretical density	7.81	g cm⁻³
formation energy	-442	meV/atom
space group	P-62m
spin magnetization	0.00	Bohr magnetons per cell

abc: 9.280 9.280 6.889
angles: 90.00 90.00 120.00
Atoms (fractional coordinates):
Pm  0.000  0.236  0.000
Pm  0.000  0.761  0.500
Pm  0.236  0.000  0.000
Pm  0.239  0.239  0.500
Pm  0.333  0.667  0.246
Pm  0.333  0.667  0.754
Pm  0.667  0.333  0.246
Pm  0.667  0.333  0.754
Pm  0.761  0.000  0.500
Pm  0.764  0.764  0.000
In  0.000  0.599  0.000
In  0.401  0.401  0.000
In  0.599  0.000  0.000
Pb  0.000  0.397  0.500
Pb  0.397  0.000  0.500
Pb  0.603  0.603  0.500

---

[4]
The following is a PBE-GGA calculation of an optimized crystal structure of AlSiIr, from Alexandria via LeMat-Bulk.

crystal system	hexagonal
theoretical density	9.47	g cm⁻³
space group	P-6m2
spin magnetization	0.00	Bohr magnetons per cell
formation energy from raw total energies	-104	kJ/mol of formula units

abc: 4.170 4.170 2.878
angles: 90.00 90.00 120.00
Atoms (fractional coordinates):
Al  0.000  0.000  0.000
Si  0.667  0.333  0.500
Ir  0.333  0.667  0.500